No. 1
# GGA-PBE CsTbInSe3, relaxed
# **V**: 34.5 Å³/atom
# **E_tot**: -4.308 eV/atom
data_CsTbInSe3
_chemical_formula_sum 'Cs4 Tb4 In4 Se12'
_symmetry_space_group_name_H-M 'C m c m'
_symmetry_Int_Tables_number 63
_symmetry_space_group_name_Hall '-C 2c 2'
_cell_length_a 4.278
_cell_length_b 16.488
_cell_length_c 11.756
_cell_angle_alpha 90.00
_cell_angle_beta 90.00
_cell_angle_gamma 90.00
loop_
_atom_site_label
_atom_site_fract_x
_atom_site_fract_y
_atom_site_fract_z
Cs1 0.000 0.225 0.250
Tb1 0.000 0.500 0.000
In1 0.000 0.074 0.750
Se1 0.000 0.118 0.522
Se2 0.000 0.467 0.750



No. 2
# GGA-PBE RbSmHg, relaxed
# **V**: 36.7 Å³/atom
# **E_tot**: -1.460 eV/atom
data_RbSmHg
_chemical_formula_sum 'Rb4 Sm4 Hg4'
_symmetry_space_group_name_H-M 'F -4 3 m'
_symmetry_Int_Tables_number 216
_symmetry_space_group_name_Hall 'F -4 2 3'
_cell_length_a 7.607
_cell_length_b 7.607
_cell_length_c 7.607
_cell_angle_alpha 90.00
_cell_angle_beta 90.00
_cell_angle_gamma 90.00
loop_
_atom_site_label
_atom_site_fract_x
_atom_site_fract_y
_atom_site_fract_z
Rb1 0.000 0.000 0.000
Sm1 0.250 0.250 0.750
Hg1 0.000 0.000 0.500



No. 3
# GGA-PBE CuGePdW, relaxed
# **Polymorph energy (0 for the lowest one)**: 0 meV per atom
# **V**: 14.9 Å³/atom
data_CuGePdW
_chemical_formula_sum 'Cu4 Ge4 Pd4 W4'
_symmetry_space_group_name_H-M 'F -4 3 m'
_symmetry_Int_Tables_number 216
_symmetry_space_group_name_Hall 'F -4 2 3'
_cell_length_a 6.203
_cell_length_b 6.203
_cell_length_c 6.203
_cell_angle_alpha 90.00
_cell_angle_beta 90.00
_cell_angle_gamma 90.00
loop_
_atom_site_label
_atom_site_fract_x
_atom_site_fract_y
_atom_site_fract_z
Cu1 0.000 0.000 0.000
Ge1 0.250 0.250 0.750
Pd1 0.250 0.250 0.250
W1 0.000 0.000 0.500



No. 4
# GGA-PBE RbLuSi, relaxed
# **Polymorph energy (0 for the lowest one)**: 0 meV per atom
# **V**: 33.7 Å³/atom
data_RbLuSi
_chemical_formula_sum 'Rb4 Lu4 Si4'
_symmetry_space_group_name_H-M 'F -4 3 m'
_symmetry_Int_Tables_number 216
_symmetry_space_group_name_Hall 'F -4 2 3'
_cell_length_a 7.394
_cell_length_b 7.394
_cell_length_c 7.394
_cell_angle_alpha 90.00
_cell_angle_beta 90.00
_cell_angle_gamma 90.00
loop_
_atom_site_label
_atom_site_fract_x
_atom_site_fract_y
_atom_site_fract_z
Rb1 0.000 0.000 0.000
Lu1 0.000 0.000 0.500
Si1 0.250 0.250 0.750



No. 5
# GGA-PBE Sr2LiTcSe6, relaxed
# **Polymorph energy (0 for the lowest one)**: 16 meV per atom
# **V**: 24.0 Å³/atom
data_Sr2LiTcSe6
_chemical_formula_sum 'Sr6 Li3 Tc3 Se18'
_symmetry_space_group_name_H-M 'R 3'
_symmetry_Int_Tables_number 146
_symmetry_space_group_name_Hall 'R 3'
_cell_length_a 7.4332
_cell_length_b 7.4332
_cell_length_c 15.0432
_cell_angle_alpha 90.00
_cell_angle_beta 90.00
_cell_angle_gamma 120.00
loop_
_atom_site_label
_atom_site_fract_x
_atom_site_fract_y
_atom_site_fract_z
Sr1 0.0000 0.0000 0.0000
Sr2 0.0000 0.0000 0.4796
Li1 0.0000 0.0000 0.2274
Tc1 0.0000 0.0000 0.7221
Se1 0.0272 0.4284 0.5011
Se2 0.1015 0.7531 0.3159



No. 6
# GGA-PBE ZrBeMoW, relaxed
# **Polymorph energy (0 for the lowest one)**: 19 meV per atom
# **V**: 16.0 Å³/atom
data_ZrBeMoW
_chemical_formula_sum 'Zr4 Be4 Mo4 W4'
_symmetry_space_group_name_H-M 'F -4 3 m'
_symmetry_Int_Tables_number 216
_symmetry_space_group_name_Hall 'F -4 2 3'
_cell_length_a 6.352
_cell_length_b 6.352
_cell_length_c 6.352
_cell_angle_alpha 90.00
_cell_angle_beta 90.00
_cell_angle_gamma 90.00
loop_
_atom_site_label
_atom_site_fract_x
_atom_site_fract_y
_atom_site_fract_z
Zr1 0.000 0.000 0.000
Be1 0.250 0.250 0.250
Mo1 0.000 0.000 0.500
W1 0.250 0.250 0.750



No. 7
# GGA-PBE ErLu3Ni4, relaxed
# **V**: 18.9 Å³/atom
# **Energy of formation from the pure elements**: -520 meV per atom
data_ErLu3Ni4
_chemical_formula_sum 'Er1 Lu3 Ni4'
_symmetry_space_group_name_H-M 'P 1 m 1'
_symmetry_Int_Tables_number 6
_symmetry_space_group_name_Hall 'P -2y'
_cell_length_a 5.335
_cell_length_b 4.095
_cell_length_c 6.921
_cell_angle_alpha 90.00
_cell_angle_beta 90.10
_cell_angle_gamma 90.00
loop_
_atom_site_label
_atom_site_fract_x
_atom_site_fract_y
_atom_site_fract_z
Er1 0.000 0.000 0.000
Lu1 0.238 0.000 0.500
Lu2 0.500 0.500 0.141
Lu3 0.738 0.500 0.640
Ni1 0.244 0.500 0.782
Ni2 0.496 0.000 0.857
Ni3 0.743 0.000 0.359
Ni4 0.995 0.500 0.284



No. 8
# GGA-PBE SrAl2IrPd, relaxed
# **V**: 19.7 Å³/atom
# **E_tot**: -5.390 eV/atom
data_SrAl2IrPd
_chemical_formula_sum 'Sr2 Al4 Ir2 Pd2'
_symmetry_space_group_name_H-M 'P 4/n m m'
_symmetry_Int_Tables_number 129
_cell_length_a 4.393
_cell_length_b 4.393
_cell_length_c 10.219
_cell_angle_alpha 90.00
_cell_angle_beta 90.00
_cell_angle_gamma 90.00
loop_
_symmetry_equiv_pos_as_xyz
'x,y,z'
'-x,-y,-z'
'-y+1/2,x,z'
'y+1/2,-x,-z'
'-x+1/2,-y+1/2,z'
'x+1/2,y+1/2,-z'
'y,-x+1/2,z'
'-y,x+1/2,-z'
'x+1/2,-y,-z'
'-x+1/2,y,z'
'-y,-x,-z'
'y,x,z'
'-x,y+1/2,-z'
'x,-y+1/2,z'
'y+1/2,x+1/2,-z'
'-y+1/2,-x+1/2,z'
loop_
_atom_site_label
_atom_site_fract_x
_atom_site_fract_y
_atom_site_fract_z
Sr1 0.250 0.250 0.249
Al1 0.250 0.250 0.875
Al2 0.250 0.750 0.500
Ir1 0.250 0.250 0.628
Pd1 0.250 0.750 0.000